Entry 1:
Here is a relaxed structure of Pm2NdSc4 from Alexandria. Energies are from PBE.

Results
The crystal system is triclinic. The energy relative to the elements is 0.19 eV per atom. The value obtained for the total moment is 0.000 μB/f.u.

Cell: 8.544 8.545 8.541 Å, 135.08 101.59 95.18°
Fractional positions:
Pm 0.625 0.387 0.263
Pm 0.606 0.482 0.897
Pm 0.125 0.388 0.763
Pm 0.645 0.041 0.376
Sc 0.263 0.050 0.288
Sc 0.484 0.739 0.755
Sc 0.988 0.776 0.287
Sc 0.875 0.050 0.175
Sc 0.765 0.019 0.753
Sc 0.375 0.051 0.675
Sc 0.874 0.623 0.748
Sc 0.376 0.624 0.249
Nd 0.083 0.481 0.374
Nd 0.166 0.041 0.897

Entry 2:
Here is a relaxed structure of Li2DyTm2Pb2 from Alexandria. Energies are from PBE.

Results
The crystal system is trigonal. The energy relative to the elements is -0.28 eV per atom. The value obtained for the total moment is 0.000 μB/f.u.

Cell: 4.830 4.830 9.182 Å, 74.75 74.75 60.00°
Fractional positions:
Li 0.407 0.407 0.779
Li 0.593 0.593 0.221
Pb 0.263 0.263 0.210
Pb 0.737 0.737 0.790
Tm 0.870 0.870 0.389
Tm 0.130 0.130 0.611
Dy 0.000 0.000 0.000

Entry 3:
Here is a relaxed structure of Cs3LiMn from Alexandria. Energies are from PBE.

Results
The crystal system is cubic. The energy relative to the elements is 0.77 eV per atom. The value obtained for the total moment is 4.540 μB/f.u.

Cell: 7.390 7.390 7.390 Å, 90.00 90.00 90.00°
Last column: magnetic moment on the atom in μB.
Fractional positions:
Mn 0.500 0.500 0.500  -4.37
Cs 0.500 0.000 0.000  0.01
Cs 0.000 0.500 0.000  0.01
Cs 0.000 0.000 0.500  0.01
Li 0.000 0.000 0.000  0.00

Entry 4:
Here is a relaxed structure of RbCaTi2 from Alexandria. Energies are from PBE.

Results
The crystal system is tetragonal. The energy relative to the elements is 1.40 eV per atom. The value obtained for the total moment is 5.253 μB/f.u.

Cell: 9.178 9.178 7.234 Å, 50.62 50.62 90.00°
Last column: magnetic moment on the atom in μB.
Fractional positions:
Ca 0.250 0.750 0.500  0.11
Ca 0.500 0.500 0.000  0.11
Ti 0.875 0.864 0.750  1.75
Ti 0.614 0.125 0.250  1.74
Ti 0.136 0.625 0.250  1.75
Ti 0.375 0.386 0.750  1.75
Rb 0.750 0.250 0.500  0.06
Rb 0.000 0.000 0.000  0.06

Entry 5:
Here is a relaxed structure of NaHf from Alexandria. Energies are from PBE.

Results
The crystal system is tetragonal. The energy relative to the elements is 0.83 eV per atom. The value obtained for the total moment is 0.000 μB/f.u.

Cell: 12.565 12.565 2.875 Å, 90.00 90.00 90.00°
Fractional positions:
Na 0.887 0.337 0.500
Na 0.337 0.113 0.500
Na 0.613 0.163 0.000
Na 0.663 0.887 0.500
Na 0.163 0.387 0.000
Na 0.387 0.837 0.000
Na 0.837 0.613 0.000
Na 0.113 0.663 0.500
Hf 0.574 0.646 0.000
Hf 0.854 0.074 0.500
Hf 0.146 0.926 0.500
Hf 0.074 0.146 0.500
Hf 0.646 0.426 0.000
Hf 0.426 0.354 0.000
Hf 0.354 0.574 0.000
Hf 0.926 0.854 0.500